## KCdSe (PBEsol)

Data for an optimized crystal structure of KCdSe.

Structure (POSCAR):
```
KCdSe
1.0
3.888 0.000 0.000
0.000 3.888 0.000
-1.944 -1.944 5.662
Cd K Se
1 1 1
Cartesian
1.944 1.944 5.142
1.944 1.944 1.923
0.000 0.000 4.258
```

## Properties
- energy above the most stable polymorph in this dataset (eV per atom) = 0.066
- DOS(E_F) (states/eV/f.u.) = 1.432
- energy relative to the elements, uncorrected (meV per atom) = -414
- SG = No. 107
- magnetic moment (μB/atom) = 0.172


## KCdSe (PBEsol)

Data for an optimized crystal structure of KCdSe.

Structure (POSCAR):
```
KCdSe
1.0
5.091 0.000 0.000
2.546 4.409 0.000
2.546 1.470 4.157
Cd K Se
1 1 1
Cartesian
5.091 2.940 2.079
2.546 1.470 1.039
0.000 0.000 0.000
```

## Properties
- energy above the most stable polymorph in this dataset (eV per atom) = 0.395
- DOS(E_F) (states/eV/f.u.) = 1.715
- energy relative to the elements, uncorrected (meV per atom) = -84
- SG = No. 216
- magnetic moment (μB/atom) = 0.000


## KCdSe (PBEsol)

Data for an optimized crystal structure of KCdSe.

Structure (POSCAR):
```
KCdSe
1.0
-3.723 2.146 1.143
2.322 -2.217 3.077
2.972 4.590 1.064
Cd K Se
1 1 1
Cartesian
0.286 0.442 0.102
2.211 2.178 3.114
-0.926 1.899 2.067
```

## Properties
- energy above the most stable polymorph in this dataset (eV per atom) = 0.000
- DOS(E_F) (states/eV/f.u.) = 1.748
- energy relative to the elements, uncorrected (meV per atom) = -479
- SG = No. 156
- magnetic moment (μB/atom) = 0.263


## K2TlCdSe (PBEsol)

Data for an optimized crystal structure of K2TlCdSe.

Structure (POSCAR):
```
K2TlCdSe
1.0
5.268 0.000 0.000
0.000 6.212 0.000
0.000 0.000 6.212
Tl K Se Cd
1 2 1 1
Cartesian
0.000 0.000 0.000
0.000 0.000 3.106
0.000 3.106 0.000
2.634 3.106 3.106
2.634 0.000 0.000
```

## Properties
- DOS(E_F) (states/eV/f.u.) = 3.443
- energy relative to the elements, uncorrected (meV per atom) = 139
- SG = No. 123
- magnetic moment (μB/atom) = 0.000


## KTl2CdSe (PBEsol)

Data for an optimized crystal structure of KTl2CdSe.

Structure (POSCAR):
```
KTl2CdSe
1.0
5.540 0.000 0.000
0.000 6.037 0.000
0.000 0.000 6.037
Tl K Se Cd
2 1 1 1
Cartesian
0.000 0.000 3.018
0.000 3.018 0.000
0.000 0.000 0.000
2.770 0.000 0.000
2.770 3.018 3.018
```

## Properties
- DOS(E_F) (states/eV/f.u.) = 2.380
- energy relative to the elements, uncorrected (meV per atom) = 492
- SG = No. 123
- magnetic moment (μB/atom) = 0.000


## K2CdSi (PBEsol)

Data for an optimized crystal structure of K2CdSi.

Structure (POSCAR):
```
K2CdSi
1.0
-4.219 -0.355 -1.750
-1.029 -3.338 3.159
0.933 5.521 2.628
Cd K Si
1 2 1
Cartesian
-2.110 -0.177 -0.875
-3.469 -0.011 2.369
-0.846 1.839 1.668
-0.515 -1.669 1.579
```

## Properties
- DOS(E_F) (states/eV/f.u.) = 1.272
- energy relative to the elements, uncorrected (meV per atom) = 341
- SG = No. 71
- magnetic moment (μB/atom) = 0.000


## K4CdSi (PBEsol)

Data for an optimized crystal structure of K4CdSi.

Structure (POSCAR):
```
K4CdSi
1.0
-2.637 -5.491 -2.975
1.258 -6.160 2.533
-4.943 -3.475 3.073
Cd K Si
1 4 1
Cartesian
0.000 0.000 0.000
-2.376 -5.684 0.989
-4.831 -7.411 2.515
-3.686 -8.412 -0.489
-1.751 -8.745 2.247
-4.741 -11.345 1.973
```

## Properties
- DOS(E_F) (states/eV/f.u.) = 4.447
- energy relative to the elements, uncorrected (meV per atom) = 557
- SG = No. 216
- magnetic moment (μB/atom) = 0.000


## K2CdSi (PBEsol)

Data for an optimized crystal structure of K2CdSi.

Structure (POSCAR):
```
K2CdSi
1.0
-3.215 -0.584 3.235
-1.758 -5.042 -2.657
5.598 0.334 2.356
Cd K Si
1 2 1
Cartesian
0.430 -1.916 3.350
0.186 -0.148 0.158
0.463 -3.590 -0.188
2.657 -2.117 2.258
```

## Properties
- energy relative to the elements, uncorrected (meV per atom) = 64
- SG = No. 44
- magnetic moment (μB/atom) = 0.000


## K2CdSi (PBEsol)

Data for an optimized crystal structure of K2CdSi.

Structure (POSCAR):
```
K2CdSi
1.0
3.601 0.000 0.000
0.000 5.308 0.000
0.000 0.000 6.035
Cd K Si
1 2 1
Cartesian
1.801 2.654 3.017
0.000 0.000 4.587
0.000 0.000 1.448
1.801 2.654 0.000
```

## Properties
- DOS(E_F) (states/eV/f.u.) = 1.663
- energy relative to the elements, uncorrected (meV per atom) = 362
- SG = No. 47
- magnetic moment (μB/atom) = 0.000


## KCd3Si (PBEsol)

Data for an optimized crystal structure of KCd3Si.

Structure (POSCAR):
```
KCd3Si
1.0
-3.945 -3.305 0.830
2.460 -1.883 4.192
-2.358 3.564 2.984
K Si Cd
1 1 3
Cartesian
-1.921 -0.812 4.003
0.000 0.000 0.000
1.230 -0.942 2.096
-1.179 1.782 1.492
-1.972 -1.652 0.415
```

## Properties
- DOS(E_F) (states/eV/f.u.) = 1.922
- energy relative to the elements, uncorrected (meV per atom) = 242
- SG = No. 221
- magnetic moment (μB/atom) = 0.000


## K2CdSi (PBEsol)

Data for an optimized crystal structure of K2CdSi.

Structure (POSCAR):
```
K2CdSi
1.0
3.807 0.000 0.000
0.000 3.807 0.000
0.000 0.000 9.898
Cd K Si
1 2 1
Cartesian
1.904 1.904 6.496
0.000 0.000 9.162
1.904 1.904 3.253
0.000 0.000 5.834
```

## Properties
- DOS(E_F) (states/eV/f.u.) = 2.921
- energy relative to the elements, uncorrected (meV per atom) = 238
- SG = No. 99
- magnetic moment (μB/atom) = 0.000


## K3CdSi (PBEsol)

Data for an optimized crystal structure of K3CdSi.

Structure (POSCAR):
```
K3CdSi
1.0
6.285 0.000 0.000
0.000 6.285 0.000
0.000 0.000 6.285
K Si Cd
3 1 1
Cartesian
0.000 3.142 0.000
0.000 0.000 3.142
3.142 0.000 0.000
3.142 3.142 3.142
0.000 0.000 0.000
```

## Properties
- DOS(E_F) (states/eV/f.u.) = 1.648
- energy relative to the elements, uncorrected (meV per atom) = 671
- SG = No. 221
- magnetic moment (μB/atom) = 0.219


## KCdSi3 (PBEsol)

Data for an optimized crystal structure of KCdSi3.

Structure (POSCAR):
```
KCdSi3
1.0
5.282 0.000 0.000
0.000 5.282 0.000
0.000 0.000 5.282
K Si Cd
1 3 1
Cartesian
0.000 0.000 0.000
0.000 2.641 0.000
0.000 0.000 2.641
2.641 0.000 0.000
2.641 2.641 2.641
```

## Properties
- DOS(E_F) (states/eV/f.u.) = 4.940
- energy relative to the elements, uncorrected (meV per atom) = 2023
- SG = No. 221
- magnetic moment (μB/atom) = 0.000


## K2CdSi (PBEsol)

Data for an optimized crystal structure of K2CdSi.

Structure (POSCAR):
```
K2CdSi
1.0
-2.117 -1.939 -1.873
0.630 -3.348 -0.383
-6.720 -4.004 8.603
Cd K Si
1 2 1
Cartesian
0.000 0.000 0.000
-2.158 -2.361 1.746
-6.049 -6.929 4.601
-4.104 -4.645 3.173
```

## Properties
- DOS(E_F) (states/eV/f.u.) = 2.398
- energy relative to the elements, uncorrected (meV per atom) = 462
- SG = No. 166
- magnetic moment (μB/atom) = 0.001


## K2CdSi (PBEsol)

Data for an optimized crystal structure of K2CdSi.

Structure (POSCAR):
```
K2CdSi
1.0
-2.353 -1.015 -1.932
1.480 -2.831 -0.315
-5.479 -3.832 8.687
Cd K Si
1 2 1
Cartesian
-3.176 -3.839 3.220
-4.225 -2.955 6.698
-1.254 -0.877 1.989
-0.437 -1.923 -1.124
```

## Properties
- DOS(E_F) (states/eV/f.u.) = 3.081
- energy relative to the elements, uncorrected (meV per atom) = 354
- SG = No. 123
- magnetic moment (μB/atom) = 0.000


## K2Cd2Sn (PBEsol)

Data for an optimized crystal structure of K2Cd2Sn.

Structure (POSCAR):
```
K2Cd2Sn
1.0
-3.199 2.056 -2.746
-2.845 -3.688 0.553
-0.033 4.073 7.094
K Sn Cd
2 1 2
Cartesian
-2.950 -0.215 3.275
-3.127 2.657 1.625
0.000 0.000 0.000
-2.508 2.673 4.922
-3.570 -0.232 -0.022
```

## Properties
- DOS(E_F) (states/eV/f.u.) = 3.729
- SG = No. 139
- magnetic moment (μB/atom) = 0.000
- uncorrected energy (eV per atom) = -1.49


## KSrCd (PBEsol)

Data for an optimized crystal structure of KSrCd.

Structure (POSCAR):
```
KSrCd
1.0
5.693 0.000 0.000
2.847 4.930 0.000
2.847 1.643 4.648
Cd K Sr
1 1 1
Cartesian
5.693 3.287 2.324
2.847 1.643 1.162
0.000 0.000 0.000
```

## Properties
- DOS(E_F) (states/eV/f.u.) = 2.468
- SG = No. 216
- magnetic moment (μB/atom) = 0.000
- uncorrected energy (eV per atom) = -1.01


## KSr2Cd (PBEsol)

Data for an optimized crystal structure of KSr2Cd.

Structure (POSCAR):
```
KSr2Cd
1.0
4.038 0.000 0.000
0.000 4.038 0.000
0.000 0.000 10.860
Sr K Cd
2 1 1
Cartesian
0.000 0.000 3.521
0.000 0.000 7.339
2.019 2.019 0.000
2.019 2.019 5.430
```

## Properties
- DOS(E_F) (states/eV/f.u.) = 3.192
- SG = No. 123
- magnetic moment (μB/atom) = 0.000
- uncorrected energy (eV per atom) = -1.62


## KSrCd2 (PBEsol)

Data for an optimized crystal structure of KSrCd2.

Structure (POSCAR):
```
KSrCd2
1.0
-5.313 -2.062 -0.090
-1.869 -3.251 4.292
-3.906 2.029 3.621
Sr K Cd
1 1 2
Cartesian
-5.544 -1.642 3.911
0.000 0.000 0.000
-2.772 -0.821 1.956
-8.316 -2.463 5.867
```

## Properties
- energy above the most stable polymorph in this dataset (eV per atom) = 0.022
- DOS(E_F) (states/eV/f.u.) = 3.989
- SG = No. 225
- magnetic moment (μB/atom) = 0.000


## KSrCd4 (PBEsol)

Data for an optimized crystal structure of KSrCd4.

Structure (POSCAR):
```
KSrCd4
1.0
-2.566 -1.640 -5.312
3.123 -3.464 -3.968
-1.646 -5.823 -0.936
Sr K Cd
1 1 4
Cartesian
0.000 0.000 0.000
-0.817 -8.195 -7.663
-0.409 -4.100 -3.834
-1.230 -7.007 -4.301
-1.690 -4.919 -6.485
1.150 -5.829 -5.815
```

## Properties
- DOS(E_F) (states/eV/f.u.) = 4.008
- SG = No. 216
- magnetic moment (μB/atom) = 0.000
- uncorrected energy (eV per atom) = -1.46